Material: Na2MnPbF8
Method: DFT, PBE with a Hubbard U
State: optimized geometry

Properties
The calculation puts the total moment at 3.51 Bohr magnetons per cell. For the density of states at the Fermi level, the calculation gives 0.277 states/eV per atom. The value obtained for the total DFT energy (no corrections) is -4.83 eV/atom.

Geometry as extended XYZ:
```
12
Lattice="-1.432 -2.222 -4.170 3.273 -3.884 1.165 -5.105 -3.255 3.488" Properties=species:S:1:pos:R:3 pbc="T T T"
F -4.534 -5.060 -0.489
F 0.446 -1.592 -0.833
Na -2.989 -5.546 1.169
Mn 0.000 0.000 0.000
Pb -2.552 -1.628 1.744
Na -0.274 -3.815 -0.686
F -1.711 -3.259 -2.418
F -3.709 -7.770 1.317
F -2.018 -3.516 0.763
F -1.245 -5.846 -0.279
F 1.271 -4.302 0.972
F -1.552 -6.102 2.901
```